[1]
A relaxed structure of Ca3TlAg3. Source: the Alexandria database, functional PBE-GGA.

As for the final energy: -2.71 eV/atom.

The structure belongs to space group C2/m (No. 12); the cell edges are 11.7946, 4.4694 and 15.2631 Å and the angles 90.00°, 108.46° and 90.00°. Symmetry generates all atoms from Ca at (0.0167, 0.0000, 0.3789), Ca at (0.1120, 0.0000, 0.9255), Ca at (0.2346, 0.0000, 0.2237), Tl at (0.2279, 0.5000, 0.3902), Ag at (0.0101, 0.5000, 0.2240), Ag at (0.1078, 0.5000, 0.0758) and Ag at (0.1219, 0.5000, 0.5448).

***

[2]
A relaxed structure of SrLiNdRh. Source: the Alexandria database, functional PBE-GGA.

As for the final energy: -4.12 eV/atom.

The structure belongs to space group F-43m (No. 216); the cell edges are 7.3394, 7.3394 and 7.3394 Å and the angles 90.00°, 90.00° and 90.00°. Symmetry generates all atoms from Sr at (0.0000, 0.0000, 0.0000), Li at (0.2500, 0.2500, 0.7500), Nd at (0.0000, 0.0000, 0.5000) and Rh at (0.2500, 0.2500, 0.2500).

***

[3]
A relaxed structure of SrMn2FeN. Source: the Alexandria database, functional PBE-GGA.

The raw formation energy is 1.35 eV per atom. As for the final energy: -6.01 eV/atom.

The structure belongs to space group P4/mmm (No. 123); the cell edges are 4.1615, 4.1615 and 6.2428 Å and the angles 90.00°, 90.00° and 90.00°. Symmetry generates all atoms from Sr at (0.0000, 0.0000, 0.0000), Mn at (0.0000, 0.5000, 0.5000), Fe at (0.0000, 0.0000, 0.5000) and N at (0.5000, 0.5000, 0.0000).

***

[4]
A relaxed structure of HgClF2. Source: the Alexandria database, functional PBE-GGA.

The raw formation energy is -0.62 eV per atom. As for the final energy: -2.10 eV/atom.

The structure belongs to space group R-3m (No. 166, hexagonal axes); the cell edges are 3.6710, 3.6710 and 20.6850 Å and the angles 90.00°, 90.00° and 120.00°. Symmetry generates all atoms from Hg at (0.0000, 0.0000, 0.0000), Cl at (0.0000, 0.0000, 0.5000) and F at (0.0000, 0.0000, 0.4055).

***

[5]
A relaxed structure of TiBe4V. Source: the Alexandria database, functional PBE-GGA.

As for the final energy: -5.53 eV/atom.

The structure belongs to space group F-43m (No. 216); the cell edges are 6.3028, 6.3028 and 6.3028 Å and the angles 90.00°, 90.00° and 90.00°. Symmetry generates all atoms from Ti at (0.0000, 0.0000, 0.0000), Be at (0.1243, 0.1243, 0.6243) and V at (0.2500, 0.2500, 0.2500).

***

[6]
A relaxed structure of SmPtF7. Source: the Alexandria database, functional PBE-GGA.

The raw formation energy is -2.58 eV per atom. As for the final energy: -5.24 eV/atom.

The structure belongs to space group P2_1/c (No. 14); the cell edges are 9.0666, 5.6225 and 12.1738 Å and the angles 90.00°, 117.87° and 90.00°. Symmetry generates all atoms from Sm at (0.1878, 0.2394, 0.2647), Pt at (0.2728, 0.7430, 0.0428), F at (0.0280, 0.7435, 0.9503), F at (0.0324, 0.5908, 0.7314), F at (0.2560, 0.5558, 0.1733), F at (0.2724, 0.0339, 0.1325), F at (0.2810, 0.0538, 0.4593), F at (0.2947, 0.5652, 0.4159) and F at (0.4826, 0.2315, 0.3597).

***

[7]
A relaxed structure of ZrOsSe2. Source: the Alexandria database, functional PBE-GGA.

The raw formation energy is 0.19 eV per atom. As for the final energy: -6.50 eV/atom.

The structure belongs to space group R-3m (No. 166, hexagonal axes); the cell edges are 3.3714, 3.3714 and 25.8368 Å and the angles 90.00°, 90.00° and 120.00°. Symmetry generates all atoms from Zr at (0.0000, 0.0000, 0.0000), Os at (0.0000, 0.0000, 0.5000) and Se at (0.0000, 0.0000, 0.1048).

***

[8]
A relaxed structure of CdIn2Pb2. Source: the Alexandria database, functional PBE-GGA.

As for the final energy: -2.63 eV/atom.

The structure belongs to space group P4/mbm (No. 127); the cell edges are 8.7748, 8.7748 and 3.9371 Å and the angles 90.00°, 90.00° and 90.00°. Symmetry generates all atoms from Cd at (0.0000, 0.0000, 0.0000), In at (0.1523, 0.3477, 0.5000) and Pb at (0.1460, 0.6460, 0.0000).

***

[9]
A relaxed structure of KInCu2. Source: the Alexandria database, functional PBE-GGA.

As for the final energy: -2.78 eV/atom.

The structure belongs to space group Pm (No. 6); the cell edges are 3.9801, 3.9308 and 6.8438 Å and the angles 90.00°, 106.51° and 90.00°. Symmetry generates all atoms from K at (0.0000, 0.0000, 0.0000), In at (0.7195, 0.5000, 0.4319), Cu at (0.2546, 0.0000, 0.5029) and Cu at (0.3572, 0.5000, 0.7121).

***

[10]
A relaxed structure of MgCo2CuNi. Source: the Alexandria database, functional PBE-GGA.

As for the final energy: -4.21 eV/atom.

The structure belongs to space group P4/mmm (No. 123); the cell edges are 4.3286, 4.3286 and 4.3739 Å and the angles 90.00°, 90.00° and 90.00°. Symmetry generates all atoms from Mg at (0.0000, 0.0000, 0.0000), Co at (0.0000, 0.5000, 0.5000), Cu at (0.5000, 0.5000, 0.5000) and Ni at (0.5000, 0.5000, 0.0000).

***

[11]
A relaxed structure of Pa2Co3B2. Source: the Alexandria database, functional PBE-GGA.

As for the final energy: -8.04 eV/atom.

The structure belongs to space group C2/m (No. 12); the cell edges are 9.4749, 3.3525 and 6.2836 Å and the angles 90.00°, 113.60° and 90.00°. Symmetry generates all atoms from Pa at (0.1395, 0.0000, 0.2903), Co at (0.0000, 0.5000, 0.5000), Co at (0.1318, 0.5000, 0.9367) and B at (0.1525, 0.0000, 0.7484).

***

[12]
A relaxed structure of KAsW2I. Source: the Alexandria database, functional PBE-GGA.

The raw formation energy is 2.30 eV per atom. As for the final energy: -4.34 eV/atom.

The structure belongs to space group P4/mmm (No. 123); the cell edges are 4.9916, 4.9916 and 5.8621 Å and the angles 90.00°, 90.00° and 90.00°. Symmetry generates all atoms from K at (0.0000, 0.0000, 0.0000), As at (0.5000, 0.5000, 0.0000), W at (0.0000, 0.5000, 0.5000) and I at (0.0000, 0.0000, 0.5000).